Below is a geometry-optimized Mg2CrCo2 structure, with properties calculated at the PBE-GGA level.

Cell lengths 5.832, 5.832, 4.236 Å; angles 90.00, 90.00, 90.00 degrees
Positions (direct):
Mg: 0.177 0.323 0.000
Mg: 0.323 0.823 0.000
Mg: 0.677 0.177 0.000
Mg: 0.823 0.677 0.000
Cr: 0.000 0.000 0.500
Cr: 0.500 0.500 0.500
Co: 0.133 0.633 0.500
Co: 0.367 0.133 0.500
Co: 0.633 0.867 0.500
Co: 0.867 0.367 0.500

Results
* energy of formation from the pure elements: 0.214 eV/atom
* density of states at the Fermi level: 1.070 states/eV per atom
* ρ: 5.037 g cm⁻³